# 1
Density functional theory data (PBE) for crystalline BeInCoMo at its relaxed geometry. Values from VASP.

Cell and atoms, written as Quantum ESPRESSO input:
```
&SYSTEM
  ibrav = 0, nat = 4, ntyp = 4
/
ATOMIC_SPECIES
Be 9.01 Be.upf
In 114.82 In.upf
Co 58.93 Co.upf
Mo 95.94 Mo.upf
ATOMIC_POSITIONS crystal
Be 0.000 0.000 0.000
In 0.250 0.250 0.250
Co 0.500 0.500 0.500
Mo 0.750 0.750 0.750
CELL_PARAMETERS angstrom
0.000 3.019 3.019
3.019 0.000 3.019
3.019 3.019 0.000
```

Computed properties:
energy above the lowest structure with this stoichiometry = 0 meV/atom

# 2
Density functional theory data (PBE) for crystalline BeInCoMo at its relaxed geometry. Values from VASP.

Cell and atoms, written as Quantum ESPRESSO input:
```
&SYSTEM
  ibrav = 0, nat = 4, ntyp = 4
/
ATOMIC_SPECIES
Be 9.01 Be.upf
In 114.82 In.upf
Co 58.93 Co.upf
Mo 95.94 Mo.upf
ATOMIC_POSITIONS crystal
Be 0.000 0.000 0.000
In 0.500 0.500 0.500
Co 0.750 0.750 0.750
Mo 0.250 0.250 0.250
CELL_PARAMETERS angstrom
0.000 3.058 3.058
3.058 0.000 3.058
3.058 3.058 0.000
```

Computed properties:
energy above the lowest structure with this stoichiometry = 207 meV/atom

# 3
Density functional theory data (PBE) for crystalline BeNbInCo at its relaxed geometry. Values from VASP.

Cell and atoms, written as Quantum ESPRESSO input:
```
&SYSTEM
  ibrav = 0, nat = 4, ntyp = 4
/
ATOMIC_SPECIES
Be 9.01 Be.upf
Nb 92.91 Nb.upf
In 114.82 In.upf
Co 58.93 Co.upf
ATOMIC_POSITIONS crystal
Be 0.000 0.000 0.000
Nb 0.250 0.250 0.250
In 0.500 0.500 0.500
Co 0.750 0.750 0.750
CELL_PARAMETERS angstrom
0.000 3.097 3.097
3.097 0.000 3.097
3.097 3.097 0.000
```

Computed properties:
energy above the lowest structure with this stoichiometry = 329 meV/atom

# 4
Density functional theory data (PBE) for crystalline BeNbInCo at its relaxed geometry. Values from VASP.

Cell and atoms, written as Quantum ESPRESSO input:
```
&SYSTEM
  ibrav = 0, nat = 4, ntyp = 4
/
ATOMIC_SPECIES
Be 9.01 Be.upf
Nb 92.91 Nb.upf
In 114.82 In.upf
Co 58.93 Co.upf
ATOMIC_POSITIONS crystal
Be 0.000 0.000 0.000
Nb 0.750 0.750 0.750
In 0.250 0.250 0.250
Co 0.500 0.500 0.500
CELL_PARAMETERS angstrom
0.000 3.050 3.050
3.050 0.000 3.050
3.050 3.050 0.000
```

Computed properties:
energy above the lowest structure with this stoichiometry = 0 meV/atom

# 5
Density functional theory data (PBE) for crystalline BeInCoNi at its relaxed geometry. Values from VASP.

Cell and atoms, written as Quantum ESPRESSO input:
```
&SYSTEM
  ibrav = 0, nat = 4, ntyp = 4
/
ATOMIC_SPECIES
Be 9.01 Be.upf
In 114.82 In.upf
Co 58.93 Co.upf
Ni 58.69 Ni.upf
ATOMIC_POSITIONS crystal
Be 0.000 0.000 0.000
In 0.750 0.750 0.750
Co 0.250 0.250 0.250
Ni 0.500 0.500 0.500
CELL_PARAMETERS angstrom
0.000 2.913 2.913
2.913 0.000 2.913
2.913 2.913 0.000
```

Computed properties:
energy above the lowest structure with this stoichiometry = 116 meV/atom

# 6
Density functional theory data (PBE) for crystalline BeInCoNi at its relaxed geometry. Values from VASP.

Cell and atoms, written as Quantum ESPRESSO input:
```
&SYSTEM
  ibrav = 0, nat = 4, ntyp = 4
/
ATOMIC_SPECIES
Be 9.01 Be.upf
In 114.82 In.upf
Co 58.93 Co.upf
Ni 58.69 Ni.upf
ATOMIC_POSITIONS crystal
Be 0.000 0.000 0.000
In 0.500 0.500 0.500
Co 0.250 0.250 0.250
Ni 0.750 0.750 0.750
CELL_PARAMETERS angstrom
0.000 2.915 2.915
2.915 0.000 2.915
2.915 2.915 0.000
```

Computed properties:
energy above the lowest structure with this stoichiometry = 0 meV/atom

Number 5 is which compound?
BeInCoNi